1.
Computed, not measured: an optimized crystal structure of La4SiBiTe2 at the GGA-PBE level of DFT.

Cell lengths 4.5607, 7.9375, 7.9604 Å; angles 70.76, 90.00, 90.00 degrees
Last column: nearest neighbours and their distance in Å.
Element x y z (fractional)
La 0.0000 0.7374 0.7394  1 Si 3.09, 2 Bi 3.24, 3 Te 3.25-3.39
La 0.0000 0.2626 0.2606  1 Si 3.09, 2 Bi 3.24, 3 Te 3.25-3.39
La 0.5000 0.7297 0.2694  2 Si 3.11, 1 Bi 3.24, 3 Te 3.25-3.37
La 0.5000 0.2703 0.7306  2 Si 3.11, 1 Bi 3.24, 3 Te 3.25-3.37
Si 0.0000 0.5000 0.5000  6 La 3.09-3.11
Bi 0.5000 0.5000 0.0000  6 La 3.24
Te 0.0000 0.0000 0.0000  6 La 3.37-3.39
Te 0.5000 0.0000 0.5000  6 La 3.25

Summary:
Total magnetic moment ... 0.000 μB/atom
VASP energy ... -5.68 eV per atom

***

2.
Computed, not measured: an optimized crystal structure of La2ZnSiBi at the GGA-PBE level of DFT.

Cell lengths 5.7137, 5.3271, 5.7137 Å; angles 90.00, 90.00, 90.00 degrees
Last column: nearest neighbours and their distance in Å.
Element x y z (fractional)
Zn 0.5000 0.5000 0.5000  8 La 3.91, 4 Bi 4.04
Si 0.0000 0.0000 0.0000  2 Bi 2.66, 4 La 2.86
Bi 0.0000 0.5000 0.0000  2 Si 2.66
La 0.0000 0.0000 0.5000  2 Si 2.86
La 0.5000 0.0000 0.0000  2 Si 2.86

Summary:
Total magnetic moment ... 0.000 μB/atom
Relative energy among the computed polymorphs ... 0 meV per atom

***

3.
Computed, not measured: an optimized crystal structure of La2ZnSiBi at the GGA-PBE level of DFT.

Cell lengths 6.1124, 5.0366, 6.1124 Å; angles 90.00, 90.00, 90.00 degrees
Last column: nearest neighbours and their distance in Å.
Element x y z (fractional)
Zn 0.0000 0.5000 0.0000  2 Bi 2.52
Si 0.5000 0.5000 0.5000  8 La 3.96, 4 Zn 4.32
Bi 0.0000 0.0000 0.0000  2 Zn 2.52
La 0.0000 0.0000 0.5000  2 Bi 3.06
La 0.5000 0.0000 0.0000  2 Bi 3.06

Summary:
Total magnetic moment ... 0.000 μB/atom
Relative energy among the computed polymorphs ... 373 meV per atom

***

4.
Computed, not measured: an optimized crystal structure of LaSm3Bi2 at the GGA-PBE level of DFT.

Cell lengths 4.6402, 4.6402, 9.0018 Å; angles 90.00, 90.00, 90.00 degrees
Last column: nearest neighbours and their distance in Å.
Element x y z (fractional)
La 0.5000 0.5000 0.0000  4 Sm 3.28, 4 Bi 3.46
Sm 0.5000 0.0000 0.3544  5 Bi 3.25-3.34
Sm 0.0000 0.5000 0.6456  5 Bi 3.25-3.34
Sm 0.0000 0.0000 0.0000  4 La 3.28, 4 Bi 3.46
Bi 0.5000 0.0000 0.7153  7 Sm 3.25-3.46, 2 La 3.46
Bi 0.0000 0.5000 0.2847  7 Sm 3.25-3.46, 2 La 3.46

Summary:
Total magnetic moment ... 0.000 μB/atom
Relative energy among the computed polymorphs ... 0 meV per atom

***

5.
Computed, not measured: an optimized crystal structure of La3Sm4Bi4 at the GGA-PBE level of DFT.

Cell lengths 4.3186, 9.6128, 10.4236 Å; angles 117.46, 101.96, 90.00 degrees
Last column: nearest neighbours and their distance in Å.
Element x y z (fractional)
La 0.1002 0.1002 0.2004  6 Bi 3.30-3.47, 1 La 3.60
La 0.8998 0.8998 0.7996  6 Bi 3.30-3.47, 1 La 3.60
La 0.0000 0.5000 0.0000  4 Bi 3.51
Sm 0.3303 0.1467 0.6606  4 Bi 3.21-3.29, 1 Sm 3.53
Sm 0.6697 0.4860 0.3394  4 Bi 3.21-3.29, 1 Sm 3.53
Sm 0.6697 0.8533 0.3394  4 Bi 3.21-3.29, 1 Sm 3.53
Sm 0.3303 0.5140 0.6606  4 Bi 3.21-3.29, 1 Sm 3.53
Bi 0.2611 0.7611 0.5222  6 Sm 3.24-3.29, 2 La 3.30
Bi 0.7389 0.2389 0.4778  6 Sm 3.24-3.29, 2 La 3.30
Bi 0.5000 0.7878 0.0000  2 Sm 3.21, 6 La 3.47-3.51
Bi 0.5000 0.2122 0.0000  2 Sm 3.21, 6 La 3.47-3.51

Summary:
Total magnetic moment ... 0.075 μB/atom
VASP energy ... -5.13 eV per atom

***

6.
Computed, not measured: an optimized crystal structure of La3SmBi3 at the GGA-PBE level of DFT.

Cell lengths 6.1449, 9.5622, 9.5622 Å; angles 120.00, 90.00, 90.00 degrees
Last column: nearest neighbours and their distance in Å.
Element x y z (fractional)
La 0.2500 0.7599 0.7483  5 Bi 3.21-3.56
La 0.2500 0.2517 0.0116  5 Bi 3.21-3.56
La 0.2500 0.9884 0.2401  5 Bi 3.21-3.56
La 0.7500 0.2401 0.2517  5 Bi 3.21-3.56
La 0.7500 0.7483 0.9884  5 Bi 3.21-3.56
La 0.7500 0.0116 0.7599  5 Bi 3.21-3.56
Sm 0.2500 0.6667 0.3333  3 Bi 3.34, 3 La 3.61
Sm 0.7500 0.3333 0.6667  3 Bi 3.34, 3 La 3.61
Bi 0.7500 0.6240 0.5700  5 La 3.21-3.56, 1 Sm 3.34
Bi 0.7500 0.4300 0.0540  5 La 3.21-3.56, 1 Sm 3.34
Bi 0.7500 0.9460 0.3760  5 La 3.21-3.56, 1 Sm 3.34
Bi 0.2500 0.3760 0.4300  5 La 3.21-3.56, 1 Sm 3.34
Bi 0.2500 0.5700 0.9460  5 La 3.21-3.56, 1 Sm 3.34
Bi 0.2500 0.0540 0.6240  5 La 3.21-3.56, 1 Sm 3.34

Summary:
Total magnetic moment ... 0.062 μB/atom
Relative energy among the computed polymorphs ... 268 meV per atom

***

7.
Computed, not measured: an optimized crystal structure of LaSm5Bi4 at the GGA-PBE level of DFT.

Cell lengths 4.5207, 8.8116, 10.0354 Å; angles 106.25, 103.02, 90.00 degrees
Last column: nearest neighbours and their distance in Å.
Element x y z (fractional)
La 0.5000 0.0000 0.0000  6 Bi 3.22-3.24
Sm 0.8192 0.6511 0.6384  3 Bi 3.17-3.20
Sm 0.8398 0.1800 0.6795  4 Bi 3.14-3.23
Sm 0.1602 0.8200 0.3205  4 Bi 3.14-3.23
Sm 0.5000 0.5000 0.0000  4 Bi 3.11
Sm 0.1808 0.3489 0.3616  3 Bi 3.17-3.20
Bi 0.3275 0.9128 0.6551  5 Sm 3.14-3.22, 1 La 3.24
Bi 0.9879 0.7341 0.9759  4 Sm 3.11-3.23, 2 La 3.22
Bi 0.6725 0.0872 0.3449  5 Sm 3.14-3.22, 1 La 3.24
Bi 0.0121 0.2659 0.0241  4 Sm 3.11-3.23, 2 La 3.22

Summary:
Total magnetic moment ... 0.000 μB/atom
VASP energy ... -4.96 eV per atom

***

8.
Computed, not measured: an optimized crystal structure of La4SmBi5 at the GGA-PBE level of DFT.

Cell lengths 4.6805, 6.6147, 12.3664 Å; angles 105.51, 100.91, 90.00 degrees
Last column: nearest neighbours and their distance in Å.
Element x y z (fractional)
La 0.4006 0.4006 0.8011  6 Bi 3.30-3.32
La 0.8015 0.8015 0.6030  6 Bi 3.31-3.33
La 0.1985 0.1985 0.3970  6 Bi 3.31-3.33
La 0.5994 0.5994 0.1989  6 Bi 3.30-3.32
Sm 0.0000 0.0000 0.0000  6 Bi 3.26-3.31
Bi 0.5972 0.0972 0.1944  2 Sm 3.26, 4 La 3.31-3.33
Bi 0.7996 0.2996 0.5993  6 La 3.31-3.33
Bi 0.2004 0.7004 0.4007  6 La 3.31-3.33
Bi 0.0000 0.5000 0.0000  4 La 3.30, 2 Sm 3.31
Bi 0.4028 0.9028 0.8056  2 Sm 3.26, 4 La 3.31-3.33

Summary:
Total magnetic moment ... 0.000 μB/atom
VASP energy ... -5.41 eV per atom

***

9.
Computed, not measured: an optimized crystal structure of LaSm3Bi3 at the GGA-PBE level of DFT.

Cell lengths 9.4764, 9.4764, 8.4087 Å; angles 55.70, 55.70, 60.00 degrees
Last column: nearest neighbours and their distance in Å.
Element x y z (fractional)
La 0.3340 0.3340 0.9981  6 Bi 3.34-3.37
La 0.6660 0.6660 0.0019  6 Bi 3.34-3.37
Sm 0.3477 0.8190 0.7461  5 Bi 3.20-3.39
Sm 0.8190 0.0872 0.7461  5 Bi 3.20-3.39
Sm 0.0872 0.3477 0.7461  5 Bi 3.20-3.39
Sm 0.9128 0.6523 0.2539  5 Bi 3.20-3.39
Sm 0.1810 0.9128 0.2539  5 Bi 3.20-3.39
Sm 0.6523 0.1810 0.2539  5 Bi 3.20-3.39
Bi 0.2964 0.5351 0.2478  5 Sm 3.20-3.39, 2 La 3.34-3.37
Bi 0.9207 0.2964 0.2478  5 Sm 3.20-3.39, 2 La 3.34-3.37
Bi 0.5351 0.9207 0.2478  5 Sm 3.20-3.39, 2 La 3.34-3.37
Bi 0.4649 0.0793 0.7522  5 Sm 3.20-3.39, 2 La 3.34-3.37
Bi 0.0793 0.7036 0.7522  5 Sm 3.20-3.39, 2 La 3.34-3.37
Bi 0.7036 0.4649 0.7522  5 Sm 3.20-3.39, 2 La 3.34-3.37

Summary:
Total magnetic moment ... 0.000 μB/atom
Relative energy among the computed polymorphs ... 104 meV per atom

***

10.
Computed, not measured: an optimized crystal structure of LaSm2Bi at the GGA-PBE level of DFT.

Cell lengths 3.5280, 6.7621, 11.9654 Å; angles 98.63, 90.00, 90.00 degrees
Last column: nearest neighbours and their distance in Å.
Element x y z (fractional)
La 0.2500 0.2842 0.6003  4 Bi 3.39-3.45, 2 La 3.53, 1 Sm 3.65
La 0.7500 0.7158 0.3997  4 Bi 3.39-3.45, 2 La 3.53, 1 Sm 3.65
Sm 0.7500 0.8961 0.1048  8 Sm 3.35-3.61, 1 Bi 3.37
Sm 0.2500 0.5935 0.8775  1 Bi 3.30, 6 Sm 3.35-3.61, 1 La 3.65
Sm 0.7500 0.4065 0.1225  1 Bi 3.30, 6 Sm 3.35-3.61, 1 La 3.65
Sm 0.2500 0.1039 0.8952  8 Sm 3.35-3.61, 1 Bi 3.37
Bi 0.2500 0.7998 0.6442  2 Sm 3.30-3.37, 4 La 3.39-3.45, 2 Bi 3.53
Bi 0.7500 0.2002 0.3558  2 Sm 3.30-3.37, 4 La 3.39-3.45, 2 Bi 3.53

Summary:
Total magnetic moment ... 0.000 μB/atom
Relative energy among the computed polymorphs ... 249 meV per atom

***

11.
Computed, not measured: an optimized crystal structure of La3SmBi2 at the GGA-PBE level of DFT.

Cell lengths 7.3371, 8.2325, 9.4142 Å; angles 115.93, 112.93, 90.00 degrees
Last column: nearest neighbours and their distance in Å.
Element x y z (fractional)
La 0.5000 0.2500 0.0000  4 Bi 3.28
La 0.5000 0.7500 0.0000  4 Bi 3.28
La 0.8001 0.0501 0.6002  4 Bi 3.31-3.34, 2 Sm 3.68
La 0.1999 0.4499 0.3998  4 Bi 3.31-3.34, 2 Sm 3.68
La 0.1999 0.9499 0.3998  4 Bi 3.31-3.34, 2 Sm 3.68
La 0.8001 0.5501 0.6002  4 Bi 3.31-3.34, 2 Sm 3.68
Sm 0.0000 0.5000 0.0000  2 Bi 3.33, 4 La 3.68
Sm 0.0000 0.0000 0.0000  2 Bi 3.33, 4 La 3.68
Bi 0.5172 0.3527 0.7053  6 La 3.28-3.34, 1 Sm 3.33
Bi 0.8119 0.1473 0.2947  6 La 3.28-3.34, 1 Sm 3.33
Bi 0.1881 0.8527 0.7053  6 La 3.28-3.34, 1 Sm 3.33
Bi 0.4828 0.6473 0.2947  6 La 3.28-3.34, 1 Sm 3.33

Summary:
Total magnetic moment ... 0.105 μB/atom
Relative energy among the computed polymorphs ... 215 meV per atom

***

12.
Computed, not measured: an optimized crystal structure of LaSm2Bi at the GGA-PBE level of DFT.

Cell lengths 4.1429, 4.1429, 7.5082 Å; angles 90.00, 90.00, 90.00 degrees
Last column: nearest neighbours and their distance in Å.
Element x y z (fractional)
Bi 0.5000 0.5000 0.5000  8 Sm 3.36, 2 La 3.75
Sm 0.0000 0.0000 0.7195  1 Sm 3.30, 4 Bi 3.36, 4 La 3.61
Sm 0.0000 0.0000 0.2805  1 Sm 3.30, 4 Bi 3.36, 4 La 3.61
La 0.5000 0.5000 0.0000  8 Sm 3.61, 2 Bi 3.75

Summary:
Total magnetic moment ... 0.006 μB/atom
Relative energy among the computed polymorphs ... 54 meV per atom